DFT (PBE-GGA) results for crystalline Mg2RePt at its relaxed geometry.

The space group is P4/mmm (No. 123) and the conventional cell measures 4.6975, 4.6975 and 2.8834 Å, with angles of 90.00, 90.00 and 90.00 degrees. The asymmetric unit holds Mg at (0.0000, 0.5000, 0.0000), Re at (0.0000, 0.0000, 0.5000) and Pt at (0.5000, 0.5000, 0.5000).

The excess energy over the best structure of this formula in the dataset comes out at 18.4 kJ/mol of atoms. As for the energy of formation from the pure elements: 24 meV/atom. For the volume, the calculation gives 64 Å³/f.u.